Entry w
VASP calculation (PBE-GGA) on a relaxed NbSbAs3 crystal.

The value obtained for the theoretical density is 5.51 Mg/m³. As for the crystal system: cubic.

The structure belongs to space group Pm-3m (No. 221); the cell edges are 5.099, 5.099 and 5.099 Å and the angles 90.00°, 90.00° and 90.00°. Symmetry generates all atoms from Nb at (0.000, 0.000, 0.000), Sb at (0.500, 0.500, 0.500) and As at (0.000, 0.500, 0.500).

***

Entry x
VASP calculation (PBE-GGA) on a relaxed NbSbAs3 crystal.

The value obtained for the theoretical density is 5.77 Mg/m³. As for the crystal system: cubic.

The structure belongs to space group Pm-3m (No. 221); the cell edges are 5.018, 5.018 and 5.018 Å and the angles 90.00°, 90.00° and 90.00°. Symmetry generates all atoms from Nb at (0.000, 0.000, 0.000), Sb at (0.500, 0.500, 0.500) and As at (0.000, 0.000, 0.500).

***

Most stable structure, least stable structure: entry x, entry w.

***

Entry w
VASP calculation (PBE-GGA) on a relaxed NbSbAs2Se crystal.

The value obtained for the theoretical density is 5.34 Mg/m³. As for the crystal system: tetragonal.

The structure belongs to space group P4/mmm (No. 123); the cell edges are 5.143, 5.143 and 5.210 Å and the angles 90.00°, 90.00° and 90.00°. Symmetry generates all atoms from Nb at (0.000, 0.000, 0.000), Sb at (0.500, 0.500, 0.500), As at (0.000, 0.500, 0.500) and Se at (0.500, 0.500, 0.000).

***

Entry x
VASP calculation (PBE-GGA) on a relaxed NbSbAs2Se crystal.

The value obtained for the theoretical density is 5.77 Mg/m³. As for the crystal system: tetragonal.

The structure belongs to space group P4/mmm (No. 123); the cell edges are 5.106, 5.106 and 4.897 Å and the angles 90.00°, 90.00° and 90.00°. Symmetry generates all atoms from Nb at (0.000, 0.000, 0.000), Sb at (0.500, 0.500, 0.500), As at (0.000, 0.500, 0.000) and Se at (0.000, 0.000, 0.500).

***

Most stable structure, least stable structure: entry x, entry w.

***

Entry w
VASP calculation (PBE-GGA) on a relaxed NbSbTe2As crystal.

The value obtained for the theoretical density is 5.83 Mg/m³. As for the crystal system: tetragonal.

The structure belongs to space group P4/mmm (No. 123); the cell edges are 5.324, 5.324 and 5.474 Å and the angles 90.00°, 90.00° and 90.00°. Symmetry generates all atoms from Nb at (0.000, 0.000, 0.000), Sb at (0.000, 0.000, 0.500), Te at (0.000, 0.500, 0.000) and As at (0.500, 0.500, 0.500).

***

Entry x
VASP calculation (PBE-GGA) on a relaxed NbSbTe2As crystal.

The value obtained for the theoretical density is 6.07 Mg/m³. As for the crystal system: tetragonal.

The structure belongs to space group P4/mmm (No. 123); the cell edges are 5.379, 5.379 and 5.153 Å and the angles 90.00°, 90.00° and 90.00°. Symmetry generates all atoms from Nb at (0.000, 0.000, 0.000), Sb at (0.500, 0.500, 0.000), Te at (0.000, 0.500, 0.500) and As at (0.500, 0.500, 0.500).

***

Most stable structure, least stable structure: entry w, entry x.

***

Entry w
VASP calculation (PBE-GGA) on a relaxed ScNb3As crystal.

The value obtained for the theoretical density is 5.98 Mg/m³. As for the crystal system: cubic.

The structure belongs to space group Pm-3m (No. 221); the cell edges are 4.801, 4.801 and 4.801 Å and the angles 90.00°, 90.00° and 90.00°. Symmetry generates all atoms from Sc at (0.000, 0.000, 0.000), Nb at (0.000, 0.500, 0.500) and As at (0.500, 0.500, 0.500).

***

Entry x
VASP calculation (PBE-GGA) on a relaxed ScNb3As crystal.

The value obtained for the theoretical density is 6.16 Mg/m³. As for the crystal system: cubic.

The structure belongs to space group Pm-3m (No. 221); the cell edges are 4.755, 4.755 and 4.755 Å and the angles 90.00°, 90.00° and 90.00°. Symmetry generates all atoms from Sc at (0.000, 0.000, 0.000), Nb at (0.000, 0.000, 0.500) and As at (0.500, 0.500, 0.500).

***

Most stable structure, least stable structure: entry w, entry x.

***

Entry w
VASP calculation (PBE-GGA) on a relaxed ScNbAsSe2 crystal.

The value obtained for the theoretical density is 4.84 Mg/m³. As for the crystal system: tetragonal.

The structure belongs to space group P4/mmm (No. 123); the cell edges are 5.027, 5.027 and 5.036 Å and the angles 90.00°, 90.00° and 90.00°. Symmetry generates all atoms from Sc at (0.000, 0.000, 0.000), Nb at (0.500, 0.500, 0.500), As at (0.000, 0.000, 0.500) and Se at (0.000, 0.500, 0.000).

***

Entry x
VASP calculation (PBE-GGA) on a relaxed ScNbAsSe2 crystal.

The value obtained for the theoretical density is 4.91 Mg/m³. As for the crystal system: tetragonal.

The structure belongs to space group P4/mmm (No. 123); the cell edges are 4.986, 4.986 and 5.045 Å and the angles 90.00°, 90.00° and 90.00°. Symmetry generates all atoms from Sc at (0.000, 0.000, 0.000), Nb at (0.500, 0.500, 0.500), As at (0.500, 0.500, 0.000) and Se at (0.000, 0.500, 0.500).

***

Most stable structure, least stable structure: entry x, entry w.

***

Entry w
VASP calculation (PBE-GGA) on a relaxed Nb2AsSe crystal.

The value obtained for the theoretical density is 5.60 Mg/m³. As for the crystal system: tetragonal.

The structure belongs to space group I-42d (No. 122); the cell edges are 5.881, 5.881 and 11.643 Å and the angles 90.00°, 90.00° and 90.00°. Symmetry generates all atoms from Nb at (0.249, 0.250, 0.125), As at (0.000, 0.000, 0.000) and Se at (0.000, 0.000, 0.500).

***

Entry x
VASP calculation (PBE-GGA) on a relaxed Nb2AsSe crystal.

The value obtained for the theoretical density is 8.35 Mg/m³. As for the crystal system: cubic.

The structure belongs to space group Fm-3m (No. 225); the cell edges are 6.465, 6.465 and 6.465 Å and the angles 90.00°, 90.00° and 90.00°. Symmetry generates all atoms from Nb at (0.250, 0.250, 0.250), As at (0.000, 0.000, 0.000) and Se at (0.000, 0.000, 0.500).

***

Most stable structure, least stable structure: entry x, entry w.

***

Entry w
VASP calculation (PBE-GGA) on a relaxed NbSiAsSe2 crystal.

The value obtained for the theoretical density is 5.54 Mg/m³. As for the crystal system: tetragonal.

The structure belongs to space group P4/mmm (No. 123); the cell edges are 4.754, 4.754 and 4.695 Å and the angles 90.00°, 90.00° and 90.00°. Symmetry generates all atoms from Nb at (0.000, 0.000, 0.000), Si at (0.500, 0.500, 0.500), As at (0.500, 0.500, 0.000) and Se at (0.000, 0.500, 0.500).

***

Entry x
VASP calculation (PBE-GGA) on a relaxed NbSiAsSe2 crystal.

The value obtained for the theoretical density is 4.62 Mg/m³. As for the crystal system: tetragonal.

The structure belongs to space group P4/mmm (No. 123); the cell edges are 4.967, 4.967 and 5.155 Å and the angles 90.00°, 90.00° and 90.00°. Symmetry generates all atoms from Nb at (0.000, 0.000, 0.000), Si at (0.500, 0.500, 0.500), As at (0.000, 0.000, 0.500) and Se at (0.000, 0.500, 0.000).

***

Most stable structure, least stable structure: entry x, entry w.

***

Entry w
VASP calculation (PBE-GGA) on a relaxed SrNbAs2Se crystal.

The value obtained for the theoretical density is 4.33 Mg/m³. As for the crystal system: tetragonal.

The structure belongs to space group P4/mmm (No. 123); the cell edges are 5.369, 5.369 and 5.445 Å and the angles 90.00°, 90.00° and 90.00°. Symmetry generates all atoms from Sr at (0.000, 0.000, 0.000), Nb at (0.500, 0.500, 0.500), As at (0.000, 0.500, 0.000) and Se at (0.000, 0.000, 0.500).

***

Entry x
VASP calculation (PBE-GGA) on a relaxed SrNbAs2Se crystal.

The value obtained for the theoretical density is 5.16 Mg/m³. As for the crystal system: tetragonal.

The structure belongs to space group P4/mmm (No. 123); the cell edges are 5.021, 5.021 and 5.220 Å and the angles 90.00°, 90.00° and 90.00°. Symmetry generates all atoms from Sr at (0.000, 0.000, 0.000), Nb at (0.500, 0.500, 0.500), As at (0.000, 0.500, 0.500) and Se at (0.500, 0.500, 0.000).

***

Most stable structure, least stable structure: entry x, entry w.